# 1
VASP calculation (PBE) on a relaxed structure of TbOF.

Values from the calculation:
- size of the total moment (μB per formula unit) = 0.00
- energy relative to the elements, uncorrected (eV per atom) = -3.89

Geometry as CIF:
```
data_TbOF
_chemical_formula_sum 'Tb2 O2 F2'
_space_group_name_H-M_alt 'P 1'
_space_group_IT_number 1
_cell_length_a 6.7705
_cell_length_b 6.7705
_cell_length_c 6.7705
_cell_angle_alpha 32.98
_cell_angle_beta 32.98
_cell_angle_gamma 32.98
loop_
_space_group_symop_operation_xyz
'x,y,z'
loop_
_atom_site_label
_atom_site_fract_x
_atom_site_fract_y
_atom_site_fract_z
Tb1 0.2410 0.2410 0.2410
Tb2 0.7590 0.7590 0.7590
O1 0.1219 0.1219 0.1219
O2 0.8781 0.8781 0.8781
F1 0.3701 0.3701 0.3701
F2 0.6299 0.6299 0.6299
```

---

# 2
VASP calculation (PBE) on a relaxed structure of TbOF.

Values from the calculation:
- size of the total moment (μB per formula unit) = 0.00
- energy relative to the elements, uncorrected (eV per atom) = -3.62

Geometry as CIF:
```
data_TbOF
_chemical_formula_sum 'Tb1 O1 F1'
_space_group_name_H-M_alt 'P 1'
_space_group_IT_number 1
_cell_length_a 3.5743
_cell_length_b 3.5743
_cell_length_c 4.9288
_cell_angle_alpha 90.00
_cell_angle_beta 90.00
_cell_angle_gamma 120.00
loop_
_space_group_symop_operation_xyz
'x,y,z'
loop_
_atom_site_label
_atom_site_fract_x
_atom_site_fract_y
_atom_site_fract_z
Tb1 0.0000 0.0000 0.0000
O1 0.6667 0.3333 0.1517
F1 0.3333 0.6667 0.7523
```

---

# 3
VASP calculation (PBE) on a relaxed structure of Tb2OF.

Values from the calculation:
- size of the total moment (μB per formula unit) = 0.00
- energy relative to the elements, uncorrected (eV per atom) = -2.43

Geometry as CIF:
```
data_Tb2OF
_chemical_formula_sum 'Tb2 O1 F1'
_space_group_name_H-M_alt 'P 1'
_space_group_IT_number 1
_cell_length_a 7.5189
_cell_length_b 7.5189
_cell_length_c 7.5189
_cell_angle_alpha 27.07
_cell_angle_beta 27.07
_cell_angle_gamma 27.07
loop_
_space_group_symop_operation_xyz
'x,y,z'
loop_
_atom_site_label
_atom_site_fract_x
_atom_site_fract_y
_atom_site_fract_z
Tb1 0.1006 0.1006 0.1006
Tb2 0.8994 0.8994 0.8994
O1 0.5000 0.5000 0.5000
F1 0.0000 0.0000 0.0000
```

---

# 4
VASP calculation (PBE) on a relaxed structure of TbOF.

Values from the calculation:
- size of the total moment (μB per formula unit) = 0.00
- energy relative to the elements, uncorrected (eV per atom) = -3.71

Geometry as CIF:
```
data_TbOF
_chemical_formula_sum 'Tb2 O2 F2'
_space_group_name_H-M_alt 'P 1'
_space_group_IT_number 1
_cell_length_a 6.3982
_cell_length_b 6.3982
_cell_length_c 4.3297
_cell_angle_alpha 105.10
_cell_angle_beta 105.10
_cell_angle_gamma 39.92
loop_
_space_group_symop_operation_xyz
'x,y,z'
loop_
_atom_site_label
_atom_site_fract_x
_atom_site_fract_y
_atom_site_fract_z
Tb1 0.1139 0.1139 0.3377
Tb2 0.8861 0.8861 0.6623
O1 0.0751 0.0751 0.8085
O2 0.9249 0.9249 0.1915
F1 0.3237 0.3237 0.6007
F2 0.6763 0.6763 0.3993
```